Entry 1:
DFT (PBE-GGA) results for a relaxed structure of AlCuSe2N.

- Total magnetic moment: 1.402 μB per formula unit
- Symmetry: P4/mmm (123)
- E above lowest polymorph: 0 meV/atom
- Uncorrected formation energy: 0.48 eV/atom

abc: 5.101 5.101 3.505
angles: 90.00 90.00 90.00
Fractional positions:
Al 0.000 0.000 0.000
Cu 0.500 0.500 0.500
Se 0.000 0.500 0.000
Se 0.500 0.000 0.000
N 0.000 0.000 0.500

---

Entry 2:
DFT (PBE-GGA) results for a relaxed structure of AlCuSe2N.

- Total magnetic moment: 1.113 μB per formula unit
- Symmetry: P4/mmm (123)
- E above lowest polymorph: 234 meV/atom
- Uncorrected formation energy: 0.72 eV/atom

abc: 4.984 4.984 3.567
angles: 90.00 90.00 90.00
Fractional positions:
Al 0.000 0.000 0.000
Cu 0.500 0.500 0.500
Se 0.000 0.500 0.500
Se 0.500 0.000 0.500
N 0.500 0.500 0.000

---

Entry 3:
DFT (PBE-GGA) results for a relaxed structure of AlCuSeN2.

- Total magnetic moment: 2.612 μB per formula unit
- Symmetry: P4/mmm (123)
- E above lowest polymorph: 510 meV/atom
- Uncorrected formation energy: 1.26 eV/atom

abc: 3.703 3.703 5.809
angles: 90.00 90.00 90.00
Fractional positions:
Al 0.000 0.000 0.000
Cu 0.500 0.500 0.500
Se 0.500 0.500 0.000
N 0.000 0.500 0.500
N 0.500 0.000 0.500